Record 1
Below is a relaxed structure of CaBe2Cu, with properties calculated at the GGA-PBE level.

```
CaBe2Cu
1.0
2.699 -4.180 0.000
2.699 4.180 0.000
0.000 0.000 2.717
Ca Be Cu
1 2 1
Cartesian
0.000 0.000 0.000
1.350 2.090 1.359
1.350 -2.090 1.359
2.699 0.000 0.000
```

Energy of formation from the pure elements, meV/atom: 705
Symmetry: Cmmm
Offset from the most stable computed form, meV/atom: 729
Volume, Å³/f.u.: 61.3
Calculated total energy, eV/cell: -10.73

---

Record 2
Below is a relaxed structure of LiVCr, with properties calculated at the GGA-PBE level.

```
LiVCr
1.0
4.419 0.000 0.000
-2.210 3.827 0.000
0.000 0.000 2.227
Li V Cr
1 1 1
Cartesian
0.000 0.000 0.000
2.210 1.276 1.637
0.000 2.551 0.648
```

Energy of formation from the pure elements, meV/atom: 353
Symmetry: P3m1
Offset from the most stable computed form, meV/atom: 193
Volume, Å³/f.u.: 37.7
Calculated total energy, eV/cell: -19.60

---

Record 3
Below is a relaxed structure of CdAsPH, with properties calculated at the GGA-PBE level.

```
CdAsPH
1.0
4.254 0.000 0.000
0.000 1.790 5.269
0.000 -1.790 5.269
Cd As P H
1 1 1 1
Cartesian
0.000 0.000 0.000
2.127 0.000 2.106
2.127 0.000 8.844
0.000 0.000 5.653
```

Symmetry: Amm2
Offset from the most stable computed form, meV/atom: 93
Volume, Å³/f.u.: 80.3
Calculated total energy, eV/cell: -13.71

---

What is the formula in the second record? LiVCr